# GGA-PBE RbSnI2O, relaxed
# ΔE to the lowest computed polymorph: 0.0000 eV/atom
# D(E_F): 1.01 states/eV per cell
data_RbSnI2O
_space_group_name_H-M_alt 'P 4/m m m'
_space_group_IT_number 123
_space_group_name_Hall '-P 4 2'
_cell_length_a 6.395
_cell_length_b 6.395
_cell_length_c 4.142
_cell_angle_alpha 90.00
_cell_angle_beta 90.00
_cell_angle_gamma 90.00
loop_
_atom_site_label
_atom_site_type_symbol
_atom_site_fract_x
_atom_site_fract_y
_atom_site_fract_z
Rb1 Rb 0.000 0.000 0.000
Sn1 Sn 0.500 0.500 0.500
I1 I 0.000 0.500 0.500
O1 O 0.500 0.500 0.000

=====

# GGA-PBE RbSn2IO8, relaxed
# Calculated total energy: -122.93 eV per cell
data_RbSn2IO8
_space_group_name_H-M_alt 'C 1 2/m 1'
_space_group_IT_number 12
_space_group_name_Hall '-C 2y'
_cell_length_a 8.312
_cell_length_b 6.148
_cell_length_c 7.489
_cell_angle_alpha 90.00
_cell_angle_beta 108.67
_cell_angle_gamma 90.00
loop_
_atom_site_label
_atom_site_type_symbol
_atom_site_fract_x
_atom_site_fract_y
_atom_site_fract_z
Rb1 Rb 0.000 0.000 0.000
Sn1 Sn 0.055 0.500 0.223
I1 I 0.000 0.000 0.500
O1 O 0.037 0.218 0.693
O2 O 0.160 0.500 0.012
O3 O 0.237 0.000 0.535

=====

# GGA-PBE Rb2SnI6O, relaxed
# D(E_F): 14.97 states/eV per cell
# Calculated total energy: -52.27 eV per cell
data_Rb2SnI6O
_space_group_name_H-M_alt 'I 4/m m m'
_space_group_IT_number 139
_space_group_name_Hall '-I 4 2'
_cell_length_a 7.673
_cell_length_b 7.673
_cell_length_c 13.639
_cell_angle_alpha 90.00
_cell_angle_beta 90.00
_cell_angle_gamma 90.00
loop_
_atom_site_label
_atom_site_type_symbol
_atom_site_fract_x
_atom_site_fract_y
_atom_site_fract_z
Rb1 Rb 0.000 0.500 0.250
Sn1 Sn 0.000 0.000 0.000
I1 I 0.000 0.000 0.226
I2 I 0.228 0.228 0.500
O1 O 0.000 0.000 0.500

=====

# GGA-PBE RbSrI2O, relaxed
# ΔE to the lowest computed polymorph: 0.0000 eV/atom
# D(E_F): 6.27 states/eV per cell
data_RbSrI2O
_space_group_name_H-M_alt 'P 4/m m m'
_space_group_IT_number 123
_space_group_name_Hall '-P 4 2'
_cell_length_a 6.616
_cell_length_b 6.616
_cell_length_c 4.721
_cell_angle_alpha 90.00
_cell_angle_beta 90.00
_cell_angle_gamma 90.00
loop_
_atom_site_label
_atom_site_type_symbol
_atom_site_fract_x
_atom_site_fract_y
_atom_site_fract_z
Rb1 Rb 0.000 0.000 0.000
Sr1 Sr 0.500 0.500 0.500
I1 I 0.000 0.500 0.500
O1 O 0.500 0.500 0.000

=====

# GGA-PBE Rb2SrI6O, relaxed
# D(E_F): 26.06 states/eV per cell
# Calculated total energy: -51.55 eV per cell
data_Rb2SrI6O
_space_group_name_H-M_alt 'I 4/m m m'
_space_group_IT_number 139
_space_group_name_Hall '-I 4 2'
_cell_length_a 9.587
_cell_length_b 9.587
_cell_length_c 10.750
_cell_angle_alpha 90.00
_cell_angle_beta 90.00
_cell_angle_gamma 90.00
loop_
_atom_site_label
_atom_site_type_symbol
_atom_site_fract_x
_atom_site_fract_y
_atom_site_fract_z
Rb1 Rb 0.000 0.500 0.250
Sr1 Sr 0.000 0.000 0.000
I1 I 0.000 0.000 0.303
I2 I 0.235 0.235 0.000
O1 O 0.000 0.000 0.500

=====

# GGA-PBE RbSrI2O, relaxed
# ΔE to the lowest computed polymorph: 0.7192 eV/atom
# D(E_F): 3.98 states/eV per cell
data_RbSrI2O
_space_group_name_H-M_alt 'P 4/m m m'
_space_group_IT_number 123
_space_group_name_Hall '-P 4 2'
_cell_length_a 6.468
_cell_length_b 6.468
_cell_length_c 4.598
_cell_angle_alpha 90.00
_cell_angle_beta 90.00
_cell_angle_gamma 90.00
loop_
_atom_site_label
_atom_site_type_symbol
_atom_site_fract_x
_atom_site_fract_y
_atom_site_fract_z
Rb1 Rb 0.000 0.000 0.000
Sr1 Sr 0.500 0.500 0.500
I1 I 0.000 0.500 0.000
O1 O 0.000 0.000 0.500

=====

# GGA-PBE Rb2Sr2IO6, relaxed
# D(E_F): 7.12 states/eV per cell
# Calculated total energy: -108.43 eV per cell
data_Rb2Sr2IO6
_space_group_name_H-M_alt 'C 1 2/m 1'
_space_group_IT_number 12
_space_group_name_Hall '-C 2y'
_cell_length_a 6.302
_cell_length_b 10.605
_cell_length_c 6.955
_cell_angle_alpha 90.00
_cell_angle_beta 105.87
_cell_angle_gamma 90.00
loop_
_atom_site_label
_atom_site_type_symbol
_atom_site_fract_x
_atom_site_fract_y
_atom_site_fract_z
Rb1 Rb 0.000 0.165 0.000
Sr1 Sr 0.000 0.337 0.500
I1 I 0.000 0.000 0.500
O1 O 0.188 0.140 0.668
O2 O 0.214 0.000 0.325

=====

# GGA-PBE RbSrIO6, relaxed
# D(E_F): 4.32 states/eV per cell
# Calculated total energy: -42.33 eV per cell
data_RbSrIO6
_space_group_name_H-M_alt 'P 3 1 2'
_space_group_IT_number 149
_space_group_name_Hall 'P 3 2'
_cell_length_a 6.1685
_cell_length_b 6.1685
_cell_length_c 4.9866
_cell_angle_alpha 90.00
_cell_angle_beta 90.00
_cell_angle_gamma 120.00
loop_
_atom_site_label
_atom_site_type_symbol
_atom_site_fract_x
_atom_site_fract_y
_atom_site_fract_z
Rb1 Rb 0.0000 0.0000 0.0000
Sr1 Sr 0.3333 0.6667 0.5000
I1 I 0.6667 0.3333 0.0000
O1 O 0.4401 0.0616 0.7828

=====

# GGA-PBE Rb2TaI6O, relaxed
# D(E_F): 11.02 states/eV per cell
# Calculated total energy: -68.27 eV per cell
data_Rb2TaI6O
_space_group_name_H-M_alt 'I 4/m m m'
_space_group_IT_number 139
_space_group_name_Hall '-I 4 2'
_cell_length_a 8.878
_cell_length_b 8.878
_cell_length_c 9.982
_cell_angle_alpha 90.00
_cell_angle_beta 90.00
_cell_angle_gamma 90.00
loop_
_atom_site_label
_atom_site_type_symbol
_atom_site_fract_x
_atom_site_fract_y
_atom_site_fract_z
Rb1 Rb 0.000 0.500 0.250
Ta1 Ta 0.000 0.000 0.000
I1 I 0.000 0.000 0.278
I2 I 0.225 0.225 0.000
O1 O 0.000 0.000 0.500

=====

# GGA-PBE RbTaI2O, relaxed
# ΔE to the lowest computed polymorph: 2.3417 eV/atom
# D(E_F): 7.55 states/eV per cell
data_RbTaI2O
_space_group_name_H-M_alt 'P 4/m m m'
_space_group_IT_number 123
_space_group_name_Hall '-P 4 2'
_cell_length_a 6.312
_cell_length_b 6.312
_cell_length_c 4.036
_cell_angle_alpha 90.00
_cell_angle_beta 90.00
_cell_angle_gamma 90.00
loop_
_atom_site_label
_atom_site_type_symbol
_atom_site_fract_x
_atom_site_fract_y
_atom_site_fract_z
Rb1 Rb 0.000 0.000 0.000
Ta1 Ta 0.500 0.500 0.500
I1 I 0.000 0.500 0.000
O1 O 0.000 0.000 0.500

=====

# GGA-PBE Rb2TaIO6, relaxed
# D(E_F): 0.00 states/eV per cell
# Calculated total energy: -243.42 eV per cell
data_Rb2TaIO6
_space_group_name_H-M_alt 'F m -3 m'
_space_group_IT_number 225
_space_group_name_Hall '-F 4 2 3'
_cell_length_a 8.321
_cell_length_b 8.321
_cell_length_c 8.321
_cell_angle_alpha 90.00
_cell_angle_beta 90.00
_cell_angle_gamma 90.00
loop_
_atom_site_label
_atom_site_type_symbol
_atom_site_fract_x
_atom_site_fract_y
_atom_site_fract_z
Rb1 Rb 0.250 0.250 0.250
Ta1 Ta 0.000 0.000 0.000
I1 I 0.000 0.000 0.500
O1 O 0.000 0.000 0.243

=====

# GGA-PBE RbTaI2O, relaxed
# ΔE to the lowest computed polymorph: 0.0000 eV/atom
# D(E_F): 2.48 states/eV per cell
data_RbTaI2O
_space_group_name_H-M_alt 'P 4/m m m'
_space_group_IT_number 123
_space_group_name_Hall '-P 4 2'
_cell_length_a 6.061
_cell_length_b 6.061
_cell_length_c 3.969
_cell_angle_alpha 90.00
_cell_angle_beta 90.00
_cell_angle_gamma 90.00
loop_
_atom_site_label
_atom_site_type_symbol
_atom_site_fract_x
_atom_site_fract_y
_atom_site_fract_z
Rb1 Rb 0.000 0.000 0.000
Ta1 Ta 0.500 0.500 0.500
I1 I 0.000 0.500 0.500
O1 O 0.500 0.500 0.000

=====

# GGA-PBE RbTaIO6, relaxed
# D(E_F): 3.08 states/eV per cell
# Calculated total energy: -57.89 eV per cell
data_RbTaIO6
_space_group_name_H-M_alt 'P 3 1 2'
_space_group_IT_number 149
_space_group_name_Hall 'P 3 2'
_cell_length_a 5.4522
_cell_length_b 5.4522
_cell_length_c 6.3349
_cell_angle_alpha 90.00
_cell_angle_beta 90.00
_cell_angle_gamma 120.00
loop_
_atom_site_label
_atom_site_type_symbol
_atom_site_fract_x
_atom_site_fract_y
_atom_site_fract_z
Rb1 Rb 0.0000 0.0000 0.0000
Ta1 Ta 0.6667 0.3333 0.5000
I1 I 0.3333 0.6667 0.5000
O1 O 0.0006 0.4043 0.3194

=====

# GGA-PBE RbTaIO2, relaxed
# ΔE to the lowest computed polymorph: 2.8326 eV/atom
# D(E_F): 7.82 states/eV per cell
data_RbTaIO2
_space_group_name_H-M_alt 'P 4/m m m'
_space_group_IT_number 123
_space_group_name_Hall '-P 4 2'
_cell_length_a 4.392
_cell_length_b 4.392
_cell_length_c 6.286
_cell_angle_alpha 90.00
_cell_angle_beta 90.00
_cell_angle_gamma 90.00
loop_
_atom_site_label
_atom_site_type_symbol
_atom_site_fract_x
_atom_site_fract_y
_atom_site_fract_z
Rb1 Rb 0.000 0.000 0.000
Ta1 Ta 0.500 0.500 0.500
I1 I 0.000 0.000 0.500
O1 O 0.000 0.500 0.000

=====

# GGA-PBE RbTaIO2, relaxed
# ΔE to the lowest computed polymorph: 0.0000 eV/atom
# D(E_F): 1.86 states/eV per cell
data_RbTaIO2
_space_group_name_H-M_alt 'P 4/m m m'
_space_group_IT_number 123
_space_group_name_Hall '-P 4 2'
_cell_length_a 4.238
_cell_length_b 4.238
_cell_length_c 5.851
_cell_angle_alpha 90.00
_cell_angle_beta 90.00
_cell_angle_gamma 90.00
loop_
_atom_site_label
_atom_site_type_symbol
_atom_site_fract_x
_atom_site_fract_y
_atom_site_fract_z
Rb1 Rb 0.000 0.000 0.000
Ta1 Ta 0.500 0.500 0.500
I1 I 0.500 0.500 0.000
O1 O 0.000 0.500 0.500

=====

# GGA-PBE Rb2TbIO6, relaxed
# D(E_F): 0.00 states/eV per cell
# Calculated total energy: -216.89 eV per cell
data_Rb2TbIO6
_space_group_name_H-M_alt 'F m -3 m'
_space_group_IT_number 225
_space_group_name_Hall '-F 4 2 3'
_cell_length_a 8.430
_cell_length_b 8.430
_cell_length_c 8.430
_cell_angle_alpha 90.00
_cell_angle_beta 90.00
_cell_angle_gamma 90.00
loop_
_atom_site_label
_atom_site_type_symbol
_atom_site_fract_x
_atom_site_fract_y
_atom_site_fract_z
Rb1 Rb 0.250 0.250 0.250
Tb1 Tb 0.000 0.000 0.000
I1 I 0.000 0.000 0.500
O1 O 0.000 0.000 0.273

=====

# GGA-PBE RbTcIO6, relaxed
# Calculated total energy: -52.58 eV per cell
data_RbTcIO6
_space_group_name_H-M_alt 'P 1'
_space_group_IT_number 1
_space_group_name_Hall 'P 1'
_cell_length_a 5.613
_cell_length_b 5.698
_cell_length_c 6.981
_cell_angle_alpha 94.83
_cell_angle_beta 113.62
_cell_angle_gamma 95.01
loop_
_atom_site_label
_atom_site_type_symbol
_atom_site_fract_x
_atom_site_fract_y
_atom_site_fract_z
Rb1 Rb 0.000 0.000 0.000
Tc1 Tc 0.662 0.636 0.322
I1 I 0.379 0.425 0.679
O1 O 0.156 0.172 0.681
O2 O 0.470 0.362 0.254
O3 O 0.532 0.816 0.125
O4 O 0.654 0.760 0.557
O5 O 0.698 0.396 0.889
O6 O 0.986 0.606 0.364

=====

# GGA-PBE RbTcIO2, relaxed
# ΔE to the lowest computed polymorph: 0.0000 eV/atom
# D(E_F): 1.22 states/eV per cell
data_RbTcIO2
_space_group_name_H-M_alt 'P 4/m m m'
_space_group_IT_number 123
_space_group_name_Hall '-P 4 2'
_cell_length_a 4.193
_cell_length_b 4.193
_cell_length_c 5.670
_cell_angle_alpha 90.00
_cell_angle_beta 90.00
_cell_angle_gamma 90.00
loop_
_atom_site_label
_atom_site_type_symbol
_atom_site_fract_x
_atom_site_fract_y
_atom_site_fract_z
Rb1 Rb 0.000 0.000 0.000
Tc1 Tc 0.500 0.500 0.500
I1 I 0.500 0.500 0.000
O1 O 0.000 0.500 0.500

=====

# GGA-PBE RbTcIO2, relaxed
# ΔE to the lowest computed polymorph: 1.8004 eV/atom
# D(E_F): 3.04 states/eV per cell
data_RbTcIO2
_space_group_name_H-M_alt 'P 4/m m m'
_space_group_IT_number 123
_space_group_name_Hall '-P 4 2'
_cell_length_a 4.483
_cell_length_b 4.483
_cell_length_c 6.717
_cell_angle_alpha 90.00
_cell_angle_beta 90.00
_cell_angle_gamma 90.00
loop_
_atom_site_label
_atom_site_type_symbol
_atom_site_fract_x
_atom_site_fract_y
_atom_site_fract_z
Rb1 Rb 0.000 0.000 0.000
Tc1 Tc 0.500 0.500 0.500
I1 I 0.000 0.000 0.500
O1 O 0.000 0.500 0.000

=====

# GGA-PBE RbTeI2O, relaxed
# ΔE to the lowest computed polymorph: 1.4788 eV/atom
# D(E_F): 13.26 states/eV per cell
data_RbTeI2O
_space_group_name_H-M_alt 'P 4/m m m'
_space_group_IT_number 123
_space_group_name_Hall '-P 4 2'
_cell_length_a 6.989
_cell_length_b 6.989
_cell_length_c 7.494
_cell_angle_alpha 90.00
_cell_angle_beta 90.00
_cell_angle_gamma 90.00
loop_
_atom_site_label
_atom_site_type_symbol
_atom_site_fract_x
_atom_site_fract_y
_atom_site_fract_z
Rb1 Rb 0.000 0.000 0.000
Te1 Te 0.000 0.000 0.500
I1 I 0.000 0.500 0.000
O1 O 0.500 0.500 0.500

=====

no.,total moment (μB per formula unit),calculated volume (A^3/atom)
1,0.0,33.87
2,0.0,15.11
3,0.0,40.15
4,1.0,41.32
5,2.1,49.40
6,0.2,38.47
7,0.8,20.32
8,2.0,18.26
9,0.7,39.34
10,0.7,32.16
11,0.0,14.41
12,1.5,29.16
13,0.0,18.12
14,0.6,24.25
15,0.2,21.02
16,0.0,14.98
17,1.0,22.45
18,0.0,19.94
19,5.4,26.99
20,5.0,73.22